Below is a geometry-optimized KNaCO3 structure, with properties calculated at the PBE level.

The size of the total moment comes out at 0.000 μB per atom. The calculation puts the total energy at -6.177 eV per atom. As for the uncorrected formation energy: -1.757 eV/atom.

The space group is P6_3/mmc (No. 194) and the conventional cell measures 5.5444, 5.5444 and 6.2100 Å, with angles of 90.00, 90.00 and 120.00 degrees. The distinct sites, in fractional coordinates, are K at (0.3333, 0.6667, 0.2500), Na at (0.0000, 0.0000, 0.0000), C at (0.3333, 0.6667, 0.7500) and O at (0.1974, 0.3948, 0.7500).


Below is a geometry-optimized KNa2OsC structure, with properties calculated at the PBE level.

The size of the total moment comes out at 0.019 μB per atom. The calculation puts the total energy at -4.065 eV per atom. For the formation energy from the elements, the calculation gives 0.7726 eV per atom.

The space group is P4/mmm (No. 123) and the conventional cell measures 5.642, 5.642 and 3.917 Å, with angles of 90.00, 90.00 and 90.00 degrees. The distinct sites, in fractional coordinates, are K at (0.000, 0.000, 0.000), Na at (0.000, 0.500, 0.500), Os at (0.500, 0.500, 0.500) and C at (0.500, 0.500, 0.000).


Below is a geometry-optimized K2NaCSe structure, with properties calculated at the PBE level.

The size of the total moment comes out at 0.600 μB per atom. The calculation puts the total energy at -2.826 eV per atom. As for the uncorrected formation energy: 0.419 eV/atom.

The space group is P4/mmm (No. 123) and the conventional cell measures 5.524, 5.524 and 4.954 Å, with angles of 90.00, 90.00 and 90.00 degrees. The distinct sites, in fractional coordinates, are K at (0.000, 0.500, 0.000), Na at (0.000, 0.000, 0.500), C at (0.000, 0.000, 0.000) and Se at (0.500, 0.500, 0.500).